[1]
First-principles (GGA-PBEsol) data for crystalline CrPbCl at its relaxed geometry, as listed in Alexandria via LeMat-Bulk.

abc: 3.705 4.400 4.400
angles: 120.00 90.00 90.00
Fractional coordinates of all 3 atoms:
Pb 0.500 0.667 0.333
Cr 0.000 0.333 0.667
Cl 0.000 0.000 0.000

Values from the calculation:
- E above lowest polymorph: 0.58 eV/f.u.
- Calculated total energy: -15.501 eV per cell

=====

[2]
First-principles (GGA-PBEsol) data for crystalline CrPb2Cl at its relaxed geometry, as listed in Alexandria via LeMat-Bulk.

abc: 3.398 3.398 8.053
angles: 90.00 90.00 90.03
Fractional coordinates of all 4 atoms:
Pb 0.000 0.000 0.230
Pb 0.000 0.000 0.770
Cr 0.500 0.500 0.000
Cl 0.500 0.500 0.500

Values from the calculation:
- E above lowest polymorph: 0.38 eV/f.u.
- Calculated total energy: -19.578 eV per cell

=====

[3]
First-principles (GGA-PBEsol) data for crystalline CrPb2Cl at its relaxed geometry, as listed in Alexandria via LeMat-Bulk.

abc: 3.292 5.484 6.137
angles: 116.51 105.56 90.00
Fractional coordinates of all 4 atoms:
Pb 0.040 0.040 0.080
Pb 0.246 0.746 0.492
Cr 0.771 0.270 0.541
Cl 0.443 0.443 0.887

Values from the calculation:
- E above lowest polymorph: 0.00 eV/f.u.
- Calculated total energy: -19.960 eV per cell

=====

[4]
First-principles (GGA-PBEsol) data for crystalline CrPb3Cl at its relaxed geometry, as listed in Alexandria via LeMat-Bulk.

abc: 5.386 5.386 5.386
angles: 90.00 90.00 90.00
Fractional coordinates of all 5 atoms:
Pb 0.000 0.500 0.000
Pb 0.000 0.000 0.500
Pb 0.500 0.000 0.000
Cr 0.500 0.500 0.500
Cl 0.000 0.000 0.000

Values from the calculation:
- Calculated total energy: -20.545 eV per cell

=====

[5]
First-principles (GGA-PBEsol) data for crystalline CrPbCl at its relaxed geometry, as listed in Alexandria via LeMat-Bulk.

abc: 3.199 3.199 7.107
angles: 103.01 103.01 90.00
Fractional coordinates of all 3 atoms:
Pb 0.305 0.305 0.611
Cr 0.646 0.646 0.292
Cl 0.049 0.049 0.097

Values from the calculation:
- E above lowest polymorph: 0.06 eV/f.u.
- Calculated total energy: -16.016 eV per cell

=====

[6]
First-principles (GGA-PBEsol) data for crystalline CrPdCl2 at its relaxed geometry, as listed in Alexandria via LeMat-Bulk.

abc: 4.578 4.578 7.904
angles: 106.84 106.84 90.00
Fractional coordinates of all 8 atoms:
Cr 0.750 0.250 0.500
Cr 0.500 0.500 0.000
Pd 0.250 0.750 0.500
Pd 0.000 0.000 0.000
Cl 0.387 0.875 0.250
Cl 0.863 0.375 0.250
Cl 0.125 0.137 0.750
Cl 0.625 0.613 0.750

Values from the calculation:
- Calculated total energy: -40.991 eV per cell